{"formula": "ScVPd2", "functional": "PBE", "state": "optimized geometry", "dft_energy_ev_per_atom": -6.421, "ef_ev_per_atom": 0.038, "lattice": [[-2.0090, 2.0090, 8.8625], [2.0090, -2.0090, 8.8625], [2.0090, 2.0090, -8.8625]], "species": ["Sc", "Sc", "V", "V", "Pd", "Pd", "Pd", "Pd"], "frac_coords": [[0.0000, 0.0000, 0.0000], [0.7500, 0.2500, 0.5000], [0.2500, 0.7500, 0.5000], [0.5000, 0.5000, 0.0000], [0.1365, 0.6250, 0.0115], [0.3750, 0.3865, 0.5115], [0.6135, 0.1250, 0.9885], [0.8750, 0.8635, 0.4885]]}

{"formula": "BeMoH2", "functional": "PBE", "state": "optimized geometry", "dft_energy_ev_per_atom": -5.070, "relative_energy_mev_per_atom": 0, "lattice": [[-1.9689, 1.9689, 4.0382], [1.9689, -1.9689, 4.0382], [1.9689, 1.9689, -4.0382]], "species": ["Be", "Be", "Mo", "Mo", "H", "H", "H", "H"], "frac_coords": [[0.0000, 0.0000, 0.0000], [0.7500, 0.2500, 0.5000], [0.2500, 0.7500, 0.5000], [0.5000, 0.5000, 0.0000], [0.0700, 0.6250, 0.9450], [0.3750, 0.3200, 0.4450], [0.6800, 0.1250, 0.0550], [0.8750, 0.9300, 0.5550]]}

{"formula": "LiInCu2", "functional": "PBE", "state": "optimized geometry", "dft_energy_ev_per_atom": -3.265, "ef_ev_per_atom": -0.054, "lattice": [[3.1306, 0.0000, 0.0000], [0.0000, 3.1306, 0.0000], [0.0000, 0.0000, 6.2039]], "species": ["Li", "In", "Cu", "Cu"], "frac_coords": [[0.0000, 0.0000, 0.0000], [0.5000, 0.5000, 0.7038], [0.0000, 0.0000, 0.4244], [0.5000, 0.5000, 0.2271]]}

{"formula": "Sr6GaAg2", "functional": "PBE", "state": "optimized geometry", "dft_energy_ev_per_atom": -2.312, "ef_ev_per_atom": -0.221, "lattice": [[0.0000, 7.1619, 8.4536], [2.8089, 0.0000, 8.4536], [2.8089, 7.1619, 0.0000]], "species": ["Sr", "Sr", "Sr", "Sr", "Sr", "Sr", "Ga", "Ag", "Ag"], "frac_coords": [[0.1318, 0.8682, 0.1318], [0.2024, 0.4666, 0.5334], [0.4666, 0.2024, 0.7976], [0.5334, 0.7976, 0.2024], [0.7976, 0.5334, 0.4666], [0.8682, 0.1318, 0.8682], [0.5000, 0.5000, 0.5000], [0.1652, 0.1652, 0.8348], [0.8348, 0.8348, 0.1652]]}

{"formula": "Na2TbBiSe4", "functional": "PBE", "state": "optimized geometry", "dft_energy_ev_per_atom": -4.358, "e_form_raw_ev_per_atom": -1.222, "lattice": [[7.3002, 0.0000, 0.0000], [0.0000, 4.1997, 0.0000], [-2.4248, 0.0000, 7.0468]], "species": ["Na", "Na", "Tb", "Bi", "Se", "Se", "Se", "Se"], "frac_coords": [[0.0000, 0.0000, 0.0000], [0.5000, 0.5000, 0.0000], [0.0000, 0.5000, 0.5000], [0.5000, 0.0000, 0.5000], [0.2389, 0.0000, 0.7310], [0.2489, 0.5000, 0.2640], [0.7511, 0.5000, 0.7360], [0.7611, 0.0000, 0.2690]]}

{"formula": "NaPrEuGe", "functional": "PBE", "state": "optimized geometry", "dft_energy_ev_per_atom": -5.510, "ef_ev_per_atom": -0.262, "lattice": [[0.0000, 3.8188, 3.8188], [3.8188, 0.0000, 3.8188], [3.8188, 3.8188, 0.0000]], "species": ["Na", "Pr", "Eu", "Ge"], "frac_coords": [[0.0000, 0.0000, 0.0000], [0.7500, 0.7500, 0.7500], [0.2500, 0.2500, 0.2500], [0.5000, 0.5000, 0.5000]]}

{"formula": "In5Se3", "functional": "PBE", "state": "optimized geometry", "dft_energy_ev_per_atom": -3.204, "e_form_raw_ev_per_atom": -0.185, "lattice": [[3.9764, -5.6404, 0.0000], [3.9764, 5.6404, 0.0000], [0.0000, 0.0000, 4.8822]], "species": ["In", "In", "In", "In", "In", "Se", "Se", "Se"], "frac_coords": [[0.0000, 0.0000, 0.0000], [0.0000, 0.5000, 0.0000], [0.2779, 0.2779, 0.5000], [0.5000, 0.0000, 0.0000], [0.7221, 0.7221, 0.5000], [0.1910, 0.8090, 0.5000], [0.5000, 0.5000, 0.0000], [0.8090, 0.1910, 0.5000]]}

{"formula": "TaSbCl2", "functional": "PBE", "state": "optimized geometry", "dft_energy_ev_per_atom": -5.232, "e_form_raw_ev_per_atom": -0.315, "relative_energy_mev_per_atom": 285, "lattice": [[1.7103, 0.9874, 8.9710], [-1.7103, 0.9874, 8.9710], [0.0000, -1.9748, 8.9710]], "species": ["Ta", "Sb", "Cl", "Cl"], "frac_coords": [[0.0000, 0.0000, 0.0000], [0.2549, 0.2549, 0.2549], [0.5107, 0.5107, 0.5107], [0.7262, 0.7262, 0.7262]]}